# Dy2ThInC

A geometry-optimized Dy2ThInC structure (PBE-GGA, the Alexandria database).

For the density, the calculation gives 9.15 g cm⁻³. The total energy comes out at -6.145 eV/atom. The energy of formation is -0.428 eV/atom. The density of states at the Fermi level is 2.575 states/eV/cell.

The structure belongs to space group P4/mmm (No. 123); the cell edges are 4.956, 4.956 and 5.052 Å and the angles 90.00°, 90.00° and 90.00°. The asymmetric unit holds Dy at (0.000, 0.500, 0.000), Th at (0.000, 0.000, 0.500), In at (0.500, 0.500, 0.500) and C at (0.000, 0.000, 0.000).